DFT (PBE-GGA) results for a geometry-optimized TiGe2F8 structure.

Summary:
space-group type = C2/m, No. 12
ΔE_f (raw) = -2677 meV per atom
V = 169.8 Å³ per cell
total magnetic moment = 0.00 μB per formula unit
final energy = -0.4112 Ry/atom

a = 6.0179 Å, b = 6.0179 Å, c = 5.1474 Å
α = 104.27°, β = 104.27°, γ = 73.21°
Fractional positions:
Ti (0.0000, 0.0000, 0.0000)
Ge (0.3499, 0.3499, 0.7356)
Ge (0.6501, 0.6501, 0.2644)
F (0.0709, 0.6957, 0.7757)
F (0.1263, 0.1263, 0.7828)
F (0.3043, 0.9291, 0.2243)
F (0.4069, 0.4069, 0.1268)
F (0.5931, 0.5931, 0.8732)
F (0.6957, 0.0709, 0.7757)
F (0.8737, 0.8737, 0.2172)
F (0.9291, 0.3043, 0.2243)